1.
A relaxed BeGaFeSb crystal. Source: the Open Quantum Materials Database, functional PBE-GGA.

abc: 4.5078 4.5078 4.5078
angles: 60.00 60.00 60.00
Atoms (fractional coordinates):
1 Be 0.0000 0.0000 0.0000
2 Ga 0.5000 0.5000 0.5000
3 Fe 0.7500 0.7500 0.7500
4 Sb 0.2500 0.2500 0.2500

total magnetic moment: 1.97 μB/cell
space group: F-43m, No. 216
total DFT energy (no corrections): -0.1530 hartree per atom
crystal system: cubic
excess energy over the best structure of this formula in the dataset: 172.5 meV/atom

2.
A relaxed GdErLu6 crystal. Source: the Open Quantum Materials Database, functional PBE-GGA.

abc: 7.0583 7.0583 5.4965
angles: 90.00 90.00 120.00
Atoms (fractional coordinates):
1 Gd 0.0000 0.0000 0.0000
2 Er 0.3333 0.6667 0.5000
3 Lu 0.3351 0.1676 0.5000
4 Lu 0.5009 0.0018 0.0000
5 Lu 0.5009 0.4991 0.0000
6 Lu 0.8324 0.1676 0.5000
7 Lu 0.8324 0.6649 0.5000
8 Lu 0.9982 0.4991 0.0000

formation energy: 0.001 eV per atom
total magnetic moment: 0.16 μB/cell
space group: P-6m2, No. 187
total DFT energy (no corrections): -0.1670 hartree per atom
crystal system: hexagonal

3.
A relaxed AcTaTl crystal. Source: the Open Quantum Materials Database, functional PBE-GGA.

abc: 5.1208 5.1208 5.1208
angles: 60.00 60.00 60.00
Atoms (fractional coordinates):
1 Ac 0.0000 0.0000 0.0000
2 Ta 0.7500 0.7500 0.7500
3 Tl 0.5000 0.5000 0.5000

total magnetic moment: 2.91 μB/cell
space group: F-43m, No. 216
total DFT energy (no corrections): -0.1894 hartree per atom
crystal system: cubic
excess energy over the best structure of this formula in the dataset: 0.0 meV/atom

4.
A relaxed LiScPd2 crystal. Source: the Open Quantum Materials Database, functional PBE-GGA.

abc: 3.2711 3.2711 5.9379
angles: 90.00 90.00 90.00
Atoms (fractional coordinates):
1 Li 0.0000 0.0000 0.0000
2 Sc 0.0000 0.0000 0.5000
3 Pd 0.5000 0.5000 0.2392
4 Pd 0.5000 0.5000 0.7608

total magnetic moment: 0.00 μB/cell
space group: P4/mmm, No. 123
total DFT energy (no corrections): -0.1988 hartree per atom
crystal system: tetragonal
excess energy over the best structure of this formula in the dataset: 0.0 meV/atom

5.
A relaxed InFePdW crystal. Source: the Open Quantum Materials Database, functional PBE-GGA.

abc: 4.4690 4.4690 4.4690
angles: 60.00 60.00 60.00
Atoms (fractional coordinates):
1 In 0.0000 0.0000 0.0000
2 Fe 0.2500 0.2500 0.2500
3 Pd 0.7500 0.7500 0.7500
4 W 0.5000 0.5000 0.5000

total magnetic moment: 1.48 μB/cell
space group: F-43m, No. 216
total DFT energy (no corrections): -0.2585 hartree per atom
crystal system: cubic
excess energy over the best structure of this formula in the dataset: 0.0 meV/atom

6.
A relaxed RbPrSO crystal. Source: the Open Quantum Materials Database, functional PBE-GGA.

abc: 3.9120 3.9120 14.4146
angles: 90.00 90.00 120.00
Atoms (fractional coordinates):
1 Rb 0.3333 0.6667 0.0000
2 Rb 0.6667 0.3333 0.5000
3 Pr 0.0000 0.0000 0.2258
4 Pr 0.0000 0.0000 0.7258
5 S 0.3333 0.6667 0.3470
6 S 0.6667 0.3333 0.8470
7 O 0.3333 0.6667 0.6571
8 O 0.6667 0.3333 0.1571

total magnetic moment: 0.00 μB/cell
space group: P6_3mc, No. 186
total DFT energy (no corrections): -0.2135 hartree per atom
crystal system: hexagonal
excess energy over the best structure of this formula in the dataset: 76.4 meV/atom

7.
A relaxed Te2PdPb2Cl2O6 crystal. Source: the Open Quantum Materials Database, functional PBE-GGA.

abc: 8.0312 5.5023 13.0584
angles: 90.00 123.72 90.00
Atoms (fractional coordinates):
1 Te 0.2222 0.0019 0.4935
2 Te 0.2222 0.4981 0.9935
3 Te 0.7778 0.5019 0.0065
4 Te 0.7778 0.9981 0.5065
5 Pd 0.5000 0.0000 0.0000
6 Pd 0.5000 0.5000 0.5000
7 Pb 0.1585 0.0342 0.1980
8 Pb 0.1585 0.4658 0.6980
9 Pb 0.8415 0.5342 0.3020
10 Pb 0.8415 0.9658 0.8020
11 Cl 0.4548 0.5849 0.3131
12 Cl 0.4548 0.9151 0.8131
13 Cl 0.5452 0.0849 0.1869
14 Cl 0.5452 0.4151 0.6869
15 O 0.0386 0.2414 0.4796
16 O 0.0386 0.2586 0.9796
17 O 0.0647 0.6488 0.8364
18 O 0.0647 0.8512 0.3364
19 O 0.3337 0.1985 0.4223
20 O 0.3337 0.3015 0.9223
21 O 0.6663 0.6985 0.0777
22 O 0.6663 0.8015 0.5777
23 O 0.9353 0.1488 0.6636
24 O 0.9353 0.3512 0.1636
25 O 0.9614 0.7414 0.0204
26 O 0.9614 0.7586 0.5204

space group: P2_1/c, No. 14
total DFT energy (no corrections): -0.1852 hartree per atom
crystal system: monoclinic

8.
A relaxed Fe2Re crystal. Source: the Open Quantum Materials Database, functional PBE-GGA.

abc: 5.9784 5.9784 2.6228
angles: 90.00 90.00 90.00
Atoms (fractional coordinates):
1 Fe 0.2381 0.2381 0.0000
2 Fe 0.2619 0.7381 0.5000
3 Fe 0.7381 0.2619 0.5000
4 Fe 0.7619 0.7619 0.0000
5 Re 0.0000 0.0000 0.5000
6 Re 0.5000 0.5000 0.0000

formation energy: 1.218 eV per atom
total magnetic moment: 7.27 μB/cell
space group: P4_2/mnm, No. 136
total DFT energy (no corrections): -0.3110 hartree per atom
crystal system: tetragonal

9.
A relaxed CoBAs crystal. Source: the Open Quantum Materials Database, functional PBE-GGA.

abc: 3.6861 3.6861 3.6861
angles: 60.00 60.00 60.00
Atoms (fractional coordinates):
1 Co 0.0000 0.0000 0.0000
2 B 0.2500 0.2500 0.2500
3 As 0.7500 0.7500 0.7500

total magnetic moment: 0.00 μB/cell
space group: F-43m, No. 216
total DFT energy (no corrections): -0.2133 hartree per atom
crystal system: cubic
excess energy over the best structure of this formula in the dataset: 0.0 meV/atom

10.
A relaxed ErFeIr crystal. Source: the Open Quantum Materials Database, functional PBE-GGA.

abc: 4.4514 4.4514 4.4514
angles: 60.00 60.00 60.00
Atoms (fractional coordinates):
1 Er 0.0000 0.0000 0.0000
2 Fe 0.5000 0.5000 0.5000
3 Ir 0.2500 0.2500 0.2500

formation energy: -0.065 eV per atom
total magnetic moment: 3.49 μB/cell
space group: F-43m, No. 216
total DFT energy (no corrections): -0.2685 hartree per atom
crystal system: cubic

11.
A relaxed NaUBe crystal. Source: the Open Quantum Materials Database, functional PBE-GGA.

abc: 4.8306 4.8306 4.8306
angles: 60.00 60.00 60.00
Atoms (fractional coordinates):
1 Na 0.0000 0.0000 0.0000
2 U 0.7500 0.7500 0.7500
3 Be 0.5000 0.5000 0.5000

total magnetic moment: 3.54 μB/cell
space group: F-43m, No. 216
total DFT energy (no corrections): -0.1335 hartree per atom
crystal system: cubic
excess energy over the best structure of this formula in the dataset: 508.5 meV/atom

12.
A relaxed Pr2Ag crystal. Source: the Open Quantum Materials Database, functional PBE-GGA.

abc: 6.3883 6.3883 6.3883
angles: 60.00 60.00 60.00
Atoms (fractional coordinates):
1 Pr 0.0000 0.0000 0.0000
2 Pr 0.0000 0.0000 0.5000
3 Pr 0.0000 0.5000 0.0000
4 Pr 0.5000 0.0000 0.0000
5 Ag 0.3750 0.3750 0.3750
6 Ag 0.6250 0.6250 0.6250

formation energy: 0.458 eV per atom
total magnetic moment: 0.39 μB/cell
space group: Fd-3m, No. 227
total DFT energy (no corrections): -0.1347 hartree per atom
crystal system: cubic